# 1
Density functional theory data (GGA-PBE) for crystalline ZnNiSbRu at its relaxed geometry.

```
data_ZnNiSbRu
_chemical_formula_sum 'Zn4 Ni4 Sb4 Ru4'
_cell_length_a 6.2009
_cell_length_b 6.2009
_cell_length_c 6.2009
_cell_angle_alpha 90.00
_cell_angle_beta 90.00
_cell_angle_gamma 90.00
_space_group_name_H-M_alt 'F -4 3 m'
_space_group_IT_number 216
_space_group_name_Hall 'F -4 2 3'
loop_
_atom_site_label
_atom_site_type_symbol
_atom_site_fract_x
_atom_site_fract_y
_atom_site_fract_z
_atom_site_occupancy
Zn1 Zn 0.0000 0.0000 0.0000 1
Ni1 Ni 0.2500 0.2500 0.2500 1
Sb1 Sb 0.0000 0.0000 0.5000 1
Ru1 Ru 0.2500 0.2500 0.7500 1
```

Summary:
Its uncorrected formation energy is -0.039 eV per atom.

---

# 2
Density functional theory data (GGA-PBE) for crystalline Sc4Ni3Ru at its relaxed geometry.

```
data_Sc4Ni3Ru
_chemical_formula_sum 'Sc4 Ni3 Ru1'
_cell_length_a 3.1743
_cell_length_b 3.1743
_cell_length_c 12.7864
_cell_angle_alpha 90.00
_cell_angle_beta 90.00
_cell_angle_gamma 90.00
_space_group_name_H-M_alt 'P 4/m m m'
_space_group_IT_number 123
_space_group_name_Hall '-P 4 2'
loop_
_atom_site_label
_atom_site_type_symbol
_atom_site_fract_x
_atom_site_fract_y
_atom_site_fract_z
_atom_site_occupancy
Sc1 Sc 0.0000 0.0000 0.1245 1
Sc2 Sc 0.0000 0.0000 0.3761 1
Ni1 Ni 0.5000 0.5000 0.0000 1
Ni2 Ni 0.5000 0.5000 0.2474 1
Ru1 Ru 0.5000 0.5000 0.5000 1
```

---

# 3
Density functional theory data (GGA-PBE) for crystalline ScNiRu2 at its relaxed geometry.

```
data_ScNiRu2
_chemical_formula_sum 'Sc4 Ni4 Ru8'
_cell_length_a 3.7159
_cell_length_b 3.7159
_cell_length_c 18.3841
_cell_angle_alpha 90.00
_cell_angle_beta 90.00
_cell_angle_gamma 90.00
_space_group_name_H-M_alt 'I -4 2 d'
_space_group_IT_number 122
_space_group_name_Hall 'I -4 2bw'
loop_
_atom_site_label
_atom_site_type_symbol
_atom_site_fract_x
_atom_site_fract_y
_atom_site_fract_z
_atom_site_occupancy
Sc1 Sc 0.0000 0.0000 0.0000 1
Ni1 Ni 0.0000 0.0000 0.5000 1
Ru1 Ru 0.2169 0.2500 0.6250 1
```

---

# 4
Density functional theory data (GGA-PBE) for crystalline ScNiRu2 at its relaxed geometry.

```
data_ScNiRu2
_chemical_formula_sum 'Sc2 Ni2 Ru4'
_cell_length_a 3.9146
_cell_length_b 3.9146
_cell_length_c 7.5550
_cell_angle_alpha 90.00
_cell_angle_beta 90.00
_cell_angle_gamma 90.00
_space_group_name_H-M_alt 'I -4 m 2'
_space_group_IT_number 119
_space_group_name_Hall 'I -4 -2'
loop_
_atom_site_label
_atom_site_type_symbol
_atom_site_fract_x
_atom_site_fract_y
_atom_site_fract_z
_atom_site_occupancy
Sc1 Sc 0.0000 0.0000 0.0000 1
Ni1 Ni 0.0000 0.5000 0.7500 1
Ru1 Ru 0.0000 0.0000 0.5000 1
Ru2 Ru 0.0000 0.5000 0.2500 1
```

---

# 5
Density functional theory data (GGA-PBE) for crystalline ScNiRu2 at its relaxed geometry.

```
data_ScNiRu2
_chemical_formula_sum 'Sc3 Ni3 Ru6'
_cell_length_a 2.8172
_cell_length_b 2.8172
_cell_length_c 25.9522
_cell_angle_alpha 90.00
_cell_angle_beta 90.00
_cell_angle_gamma 120.00
_space_group_name_H-M_alt 'R 3 m'
_space_group_IT_number 160
_space_group_name_Hall 'R 3 -2"'
loop_
_atom_site_label
_atom_site_type_symbol
_atom_site_fract_x
_atom_site_fract_y
_atom_site_fract_z
_atom_site_occupancy
Sc1 Sc 0.0000 0.0000 0.0000 1
Ni1 Ni 0.0000 0.0000 0.7490 1
Ru1 Ru 0.0000 0.0000 0.2422 1
Ru2 Ru 0.0000 0.0000 0.4968 1
```

---

# 6
Density functional theory data (GGA-PBE) for crystalline Sc5NiRu4 at its relaxed geometry.

```
data_Sc5NiRu4
_chemical_formula_sum 'Sc5 Ni1 Ru4'
_cell_length_a 3.2233
_cell_length_b 3.2233
_cell_length_c 15.8518
_cell_angle_alpha 90.00
_cell_angle_beta 90.00
_cell_angle_gamma 90.00
_space_group_name_H-M_alt 'P 4/m m m'
_space_group_IT_number 123
_space_group_name_Hall '-P 4 2'
loop_
_atom_site_label
_atom_site_type_symbol
_atom_site_fract_x
_atom_site_fract_y
_atom_site_fract_z
_atom_site_occupancy
Sc1 Sc 0.0000 0.0000 0.0000 1
Sc2 Sc 0.0000 0.0000 0.2014 1
Sc3 Sc 0.0000 0.0000 0.4002 1
Ni1 Ni 0.5000 0.5000 0.5000 1
Ru1 Ru 0.5000 0.5000 0.1013 1
Ru2 Ru 0.5000 0.5000 0.3057 1
```

---

| no. | magnetic moment (μB per atom) | final energy (eV per atom) |
| --- | --- | --- |
| 1 | 0.0000 | -5.1526 |
| 2 | 0.0000 | -7.0432 |
| 3 | 0.0004 | -7.4467 |
| 4 | 0.0001 | -7.8218 |
| 5 | 0.0001 | -7.4861 |
| 6 | 0.0000 | -8.0246 |